Density functional theory data (PBE) for crystalline Dy5UC4 at its relaxed geometry.

Summary:
Energy relative to the elements: -0.259 eV/atom
Total magnetization: 0.00 μB per formula unit
DOS(E_F): 0.720 states/eV per atom

abc: 15.6182 3.5816 7.2139
angles: 90.00 102.69 90.00
With the nearest neighbours (Å) after each atom.
Space group C2/m (No. 12)
Inequivalent atoms, fractional coordinates:
Dy 0.0000 0.0000 0.0000 (multiplicity 2)  4 C 2.66
Dy 0.1608 0.5000 0.8120 (multiplicity 4)  3 C 2.44-2.45
Dy 0.1666 0.5000 0.3481 (multiplicity 4)  4 C 2.47-2.68
U 0.0000 0.0000 0.5000 (multiplicity 2)  6 C 2.40-2.43
C 0.0010 0.5000 0.7280 (multiplicity 4)  2 U 2.43, 4 Dy 2.44-2.66
C 0.1578 0.0000 0.5785 (multiplicity 4)  1 U 2.40, 5 Dy 2.45-2.68

=====

Density functional theory data (PBE) for crystalline DyUC at its relaxed geometry.

Summary:
Energy relative to the elements: -0.010 eV/atom
Total magnetization: 2.07 μB per formula unit
DOS(E_F): 1.661 states/eV per atom

abc: 3.3811 3.3811 6.1923
angles: 90.00 90.00 120.00
With the nearest neighbours (Å) after each atom.
Space group P3m1 (No. 156)
Inequivalent atoms, fractional coordinates:
Dy 0.0000 0.0000 0.0000 (multiplicity 1)  3 C 2.48
U 0.3333 0.6667 0.5386 (multiplicity 1)  3 C 2.36
C 0.6667 0.3333 0.7521 (multiplicity 1)  3 U 2.36, 3 Dy 2.48

=====

Density functional theory data (PBE) for crystalline DyU2C3 at its relaxed geometry.

Summary:
Energy relative to the elements: -0.202 eV/atom
Total magnetization: 0.00 μB per formula unit
DOS(E_F): 1.190 states/eV per atom

abc: 3.5408 5.0458 10.3861
angles: 90.00 90.00 90.00
With the nearest neighbours (Å) after each atom.
Space group Immm (No. 71)
Inequivalent atoms, fractional coordinates:
Dy 0.0000 0.0000 0.0000 (multiplicity 2)  6 C 2.52-2.62
U 0.0000 0.0000 0.3356 (multiplicity 4)  6 C 2.36-2.53
C 0.0000 0.5000 0.0000 (multiplicity 2)  4 U 2.46, 2 Dy 2.52
C 0.0000 0.5000 0.3144 (multiplicity 4)  4 U 2.36-2.53, 2 Dy 2.62

=====

Density functional theory data (PBE) for crystalline Dy3UC4 at its relaxed geometry.

Summary:
Energy relative to the elements: -0.207 eV/atom
Total magnetization: 0.00 μB per formula unit
DOS(E_F): 1.015 states/eV per atom

abc: 7.0821 10.1087 3.5815
angles: 90.00 90.00 90.00
With the nearest neighbours (Å) after each atom.
Space group Cmmm (No. 65)
Inequivalent atoms, fractional coordinates:
Dy 0.0000 0.0000 0.0000 (multiplicity 2)  6 C 2.66-2.69
Dy 0.2500 0.2500 0.5000 (multiplicity 4)  6 C 2.52-2.53
U 0.0000 0.5000 0.0000 (multiplicity 2)  6 C 2.36-2.39
C 0.0000 0.2663 0.0000 (multiplicity 4)  1 U 2.36, 4 Dy 2.52
C 0.2229 0.5000 0.5000 (multiplicity 4)  2 U 2.39, 4 Dy 2.53-2.66

=====

Density functional theory data (PBE) for crystalline Dy4UC4 at its relaxed geometry.

Summary:
Energy relative to the elements: -0.277 eV/atom
Total magnetization: 0.48 μB per formula unit
DOS(E_F): 0.493 states/eV per atom

abc: 11.8783 3.6034 8.7877
angles: 90.00 119.74 90.00
With the nearest neighbours (Å) after each atom.
Space group C2/m (No. 12)
Inequivalent atoms, fractional coordinates:
Dy 0.1087 0.0000 0.3918 (multiplicity 4)  4 C 2.44-2.65
Dy 0.2035 0.5000 0.8067 (multiplicity 4)  5 C 2.47-2.70
U 0.0000 0.5000 0.0000 (multiplicity 2)  6 C 2.39-2.41
C 0.0884 0.0000 0.9136 (multiplicity 4)  2 U 2.39, 2 Dy 2.47-2.54
C 0.1907 0.5000 0.2856 (multiplicity 4)  1 U 2.41, 5 Dy 2.44-2.65

=====

Density functional theory data (PBE) for crystalline DyVC2 at its relaxed geometry.

Summary:
Energy relative to the elements: -0.171 eV/atom
Total magnetization: 0.00 μB per formula unit
DOS(E_F): 0.232 states/eV per atom

abc: 3.2032 3.2032 16.2243
angles: 90.00 90.00 120.00
With the nearest neighbours (Å) after each atom.
Space group R-3m (No. 166, hexagonal axes)
Inequivalent atoms, fractional coordinates:
Dy 0.0000 0.0000 0.0000 (multiplicity 3)  6 C 2.45
V 0.0000 0.0000 0.5000 (multiplicity 3)  6 C 2.15
C 0.0000 0.0000 0.2346 (multiplicity 6)  3 V 2.15

=====

Density functional theory data (PBE) for crystalline DyV2C at its relaxed geometry.

Summary:
Energy relative to the elements: 0.376 eV/atom
Total magnetization: 0.00 μB per formula unit
DOS(E_F): 0.512 states/eV per atom

abc: 2.9702 2.9702 6.4587
angles: 90.00 90.00 90.00
With the nearest neighbours (Å) after each atom.
Space group P4/mmm (No. 123)
Inequivalent atoms, fractional coordinates:
Dy 0.0000 0.0000 0.0000 (multiplicity 1)  4 Dy 2.97, 8 V 3.07, 2 C 3.23
V 0.5000 0.5000 0.3468 (multiplicity 2)  1 V 1.98
C 0.0000 0.0000 0.5000 (multiplicity 1)  8 V 2.32

=====

Density functional theory data (PBE) for crystalline Dy2VC2 at its relaxed geometry.

Summary:
Energy relative to the elements: -0.293 eV/atom
Total magnetization: 0.00 μB per formula unit
DOS(E_F): 0.731 states/eV per atom

abc: 11.0245 5.0988 6.7106
angles: 90.00 117.24 90.00
With the nearest neighbours (Å) after each atom.
Space group C2/m (No. 12)
Inequivalent atoms, fractional coordinates:
Dy 0.0294 0.0000 0.2681 (multiplicity 4)  4 C 2.38-2.59
Dy 0.1805 0.5000 0.1130 (multiplicity 4)  5 C 2.51-2.67
V 0.1374 0.5000 0.6224 (multiplicity 4)  3 C 1.93-2.06
C 0.0042 0.5000 0.2847 (multiplicity 4)  2 V 1.93-2.06
C 0.1862 0.0000 0.1158 (multiplicity 4)  1 V 1.93

=====

Density functional theory data (PBE) for crystalline Dy2WC at its relaxed geometry.

Summary:
Energy relative to the elements: 0.720 eV/atom
Total magnetization: 0.39 μB per formula unit
DOS(E_F): 1.001 states/eV per atom

abc: 3.3072 3.3072 26.0579
angles: 90.00 90.00 120.00
With the nearest neighbours (Å) after each atom.
Space group R-3m (No. 166, hexagonal axes)
Inequivalent atoms, fractional coordinates:
Dy 0.0000 0.0000 0.1131 (multiplicity 6)  3 C 2.37
W 0.0000 0.0000 0.0000 (multiplicity 3)  2 Dy 2.95
C 0.0000 0.0000 0.5000 (multiplicity 3)  6 Dy 2.37

=====

Density functional theory data (PBE) for crystalline Dy2WC3 at its relaxed geometry.

Summary:
Energy relative to the elements: -0.175 eV/atom
Total magnetization: 0.00 μB per formula unit
DOS(E_F): 0.126 states/eV per atom

abc: 9.8932 6.3275 5.6553
angles: 90.00 90.00 90.00
With the nearest neighbours (Å) after each atom.
Space group Cmc2_1 (No. 36)
Inequivalent atoms, fractional coordinates:
Dy 0.1677 0.1587 0.0000 (multiplicity 8)  6 C 2.40-2.61
W 0.0000 0.3988 0.4412 (multiplicity 4)  3 C 1.93-2.04
C 0.0000 0.1056 0.3502 (multiplicity 4)  1 W 1.93
C 0.1515 0.4853 0.7330 (multiplicity 8)  1 W 2.04

=====

Please write out number 1 again, unchanged.
Density functional theory data (PBE) for crystalline Dy5UC4 at its relaxed geometry.

Summary:
Energy relative to the elements: -0.259 eV/atom
Total magnetization: 0.00 μB per formula unit
DOS(E_F): 0.720 states/eV per atom

abc: 15.6182 3.5816 7.2139
angles: 90.00 102.69 90.00
With the nearest neighbours (Å) after each atom.
Space group C2/m (No. 12)
Inequivalent atoms, fractional coordinates:
Dy 0.0000 0.0000 0.0000 (multiplicity 2)  4 C 2.66
Dy 0.1608 0.5000 0.8120 (multiplicity 4)  3 C 2.44-2.45
Dy 0.1666 0.5000 0.3481 (multiplicity 4)  4 C 2.47-2.68
U 0.0000 0.0000 0.5000 (multiplicity 2)  6 C 2.40-2.43
C 0.0010 0.5000 0.7280 (multiplicity 4)  2 U 2.43, 4 Dy 2.44-2.66
C 0.1578 0.0000 0.5785 (multiplicity 4)  1 U 2.40, 5 Dy 2.45-2.68